1.
GdEr2Hf | PBE-GGA | relaxed

* energy of formation: 0.1314 eV/atom
* SG: P4/mmm
* crystal system: tetragonal

```
GdEr2Hf
1.0
-3.109 2.945 -2.219
-2.840 -3.764 -1.016
-2.352 0.652 4.160
Gd Hf Er
1 1 2
direct
0.500 0.500 0.500 Gd
0.500 0.000 0.000 Hf
0.000 0.000 0.500 Er
0.000 0.500 0.000 Er
```

2.
Pm2IrBr | PBE-GGA | relaxed

* E_form (uncorrected): -1080 meV per atom
* SG: R3m
* crystal system: trigonal

```
Pm2IrBr
1.0
-1.513 -0.346 3.837
-2.071 -3.408 1.108
5.506 -4.562 3.992
Pm Ir Br
2 1 1
direct
0.065 0.065 0.806 Pm
0.270 0.270 0.189 Pm
0.667 0.667 0.998 Ir
0.498 0.498 0.507 Br
```

3.
TaHg2Pb | PBE-GGA | relaxed

* energy of formation: 0.6466 eV/atom
* SG: I-42d
* crystal system: tetragonal

```
TaHg2Pb
1.0
8.157 0.000 0.000
0.000 8.157 0.000
4.078 4.078 2.931
Pb Hg Ta
2 4 2
direct
0.000 0.000 0.000 Pb
0.750 0.250 0.500 Pb
0.598 0.125 0.250 Hg
0.152 0.625 0.250 Hg
0.375 0.402 0.750 Hg
0.875 0.848 0.750 Hg
0.500 0.500 0.000 Ta
0.250 0.750 0.500 Ta
```

4.
CsCePb2 | PBE-GGA | relaxed

* energy of formation: -0.0291 eV/atom
* SG: R-3m
* crystal system: trigonal

```
CsCePb2
1.0
5.283 0.000 0.000
2.641 4.575 0.000
2.641 1.525 7.723
Pb Cs Ce
2 1 1
direct
0.288 0.288 0.135 Pb
0.712 0.712 0.865 Pb
0.500 0.500 0.500 Cs
0.000 0.000 0.000 Ce
```

5.
ScCd2InPd | PBE-GGA | relaxed

* energy of formation: -0.0468 eV/atom
* SG: P4/mmm
* crystal system: tetragonal

```
ScCd2InPd
1.0
-2.051 -1.124 4.627
-2.701 -3.541 -2.058
3.812 -3.407 0.862
Sc Cd Pd In
1 2 1 1
direct
0.000 0.500 0.000 Sc
0.000 0.000 0.500 Cd
0.500 0.000 0.000 Cd
0.000 0.000 0.000 Pd
0.500 0.500 0.500 In
```

6.
Dy4Er8Tm3 | PBE-GGA | relaxed

* energy of formation: 0.1427 eV/atom
* SG: R-3m
* crystal system: trigonal

```
Dy4Er8Tm3
1.0
-3.643 -4.017 -4.153
0.010 -6.768 0.920
-10.343 -2.645 6.013
Dy Er Tm
4 8 3
direct
0.000 0.000 0.000 Dy
0.336 0.336 0.991 Dy
0.500 0.500 0.500 Dy
0.664 0.664 0.009 Dy
0.245 0.245 0.266 Er
0.247 0.750 0.252 Er
0.750 0.750 0.252 Er
0.750 0.247 0.252 Er
0.755 0.755 0.734 Er
0.753 0.250 0.748 Er
0.250 0.250 0.748 Er
0.250 0.753 0.748 Er
0.500 0.000 0.500 Tm
0.000 0.000 0.500 Tm
0.000 0.500 0.500 Tm
```

7.
PmTlTe4 | PBE-GGA | relaxed

* E_form (uncorrected): -720 meV per atom
* SG: P4/nbm
* crystal system: tetragonal

```
PmTlTe4
1.0
-2.618 -1.564 6.195
2.506 -6.409 -0.559
7.483 2.594 3.817
Pm Tl Te
2 2 8
direct
0.500 0.500 0.000 Pm
0.000 0.000 0.000 Pm
0.500 0.500 0.500 Tl
0.000 0.000 0.500 Tl
0.645 0.855 0.218 Te
0.145 0.645 0.218 Te
0.855 0.355 0.218 Te
0.645 0.145 0.782 Te
0.355 0.855 0.782 Te
0.355 0.145 0.218 Te
0.855 0.645 0.782 Te
0.145 0.355 0.782 Te
```

8.
Cs2RbTl2Bi2 | PBE-GGA | relaxed

* energy of formation: -0.2480 eV/atom
* SG: R-3m
* crystal system: trigonal

```
Cs2RbTl2Bi2
1.0
5.907 0.000 0.000
2.953 5.115 0.000
2.953 1.705 10.430
Cs Rb Tl Bi
2 1 2 2
direct
0.127 0.127 0.619 Cs
0.873 0.873 0.381 Cs
0.000 0.000 0.000 Rb
0.711 0.711 0.868 Tl
0.289 0.289 0.132 Tl
0.602 0.602 0.194 Bi
0.398 0.398 0.806 Bi
```

9.
CaPmCdRh | PBE-GGA | relaxed

* energy of formation: -0.3811 eV/atom
* SG: F-43m
* crystal system: cubic

```
CaPmCdRh
1.0
-3.118 3.661 -1.834
-3.890 -1.261 -3.125
-4.855 0.322 1.676
Ca Cd Rh Pm
1 1 1 1
direct
0.000 0.000 0.000 Ca
0.750 0.750 0.750 Cd
0.250 0.250 0.250 Rh
0.500 0.500 0.500 Pm
```

10.
LiHfU2N5 | PBE-GGA | relaxed

* E_form (uncorrected): -1167 meV per atom
* SG: Cmc2_1
* crystal system: orthorhombic

```
LiHfU2N5
1.0
3.283 0.000 0.000
-1.641 6.398 0.000
0.000 0.000 10.207
Li Hf U N
2 2 4 10
direct
0.514 0.028 0.973 Li
0.486 0.972 0.473 Li
0.803 0.606 0.500 Hf
0.197 0.394 0.000 Hf
0.865 0.729 0.796 U
0.106 0.212 0.669 U
0.135 0.271 0.296 U
0.894 0.788 0.169 U
0.361 0.722 0.011 N
0.696 0.393 0.860 N
0.487 0.975 0.780 N
0.286 0.572 0.657 N
0.959 0.918 0.577 N
0.639 0.278 0.511 N
0.304 0.607 0.360 N
0.513 0.025 0.280 N
0.714 0.428 0.157 N
0.041 0.082 0.077 N
```

11.
ZrMo2Pb | PBE-GGA | relaxed

* energy of formation: 0.3206 eV/atom
* SG: R3m
* crystal system: trigonal

```
ZrMo2Pb
1.0
-6.390 -1.030 -6.652
-7.445 -3.201 -4.524
-8.271 -0.107 -4.210
Mo Pb Zr
2 1 1
direct
0.994 0.994 0.994 Mo
0.261 0.261 0.261 Mo
0.505 0.505 0.505 Pb
0.740 0.740 0.740 Zr
```

12.
PrYHoTm | PBE-GGA | relaxed

* energy of formation: 0.1182 eV/atom
* SG: Cm
* crystal system: monoclinic

```
PrYHoTm
1.0
3.730 0.000 0.599
0.000 5.847 0.000
0.935 -2.924 6.140
Pr Y Ho Tm
1 1 1 1
direct
0.669 0.398 0.796 Pr
0.428 0.132 0.264 Y
0.177 0.886 0.772 Ho
0.912 0.649 0.298 Tm
```

13.
Ho11In6Si4 | PBE-GGA | relaxed

* E_form (uncorrected): -599 meV per atom
* SG: I4/mmm
* crystal system: tetragonal

```
Ho11In6Si4
1.0
11.414 0.007 0.000
-0.034 11.414 0.000
-5.690 -5.711 8.081
Ho In Si
22 12 8
direct
0.685 0.935 0.250 Ho
0.685 0.435 0.750 Ho
0.935 0.685 0.250 Ho
0.435 0.685 0.750 Ho
0.315 0.065 0.750 Ho
0.315 0.565 0.250 Ho
0.065 0.315 0.750 Ho
0.565 0.315 0.250 Ho
0.899 0.247 0.348 Ho
0.899 0.551 0.652 Ho
0.247 0.899 0.348 Ho
0.551 0.899 0.652 Ho
0.101 0.753 0.652 Ho
0.101 0.449 0.348 Ho
0.753 0.101 0.652 Ho
0.449 0.101 0.348 Ho
0.334 0.334 0.667 Ho
0.666 0.666 0.333 Ho
0.334 0.666 0.000 Ho
0.666 0.334 0.000 Ho
0.830 0.830 0.000 Ho
0.170 0.170 0.000 Ho
0.035 0.035 0.412 In
0.623 0.623 0.588 In
0.035 0.623 0.000 In
0.623 0.035 0.000 In
0.965 0.965 0.588 In
0.377 0.377 0.412 In
0.965 0.377 0.000 In
0.377 0.965 0.000 In
0.129 0.129 0.258 In
0.871 0.871 0.742 In
0.129 0.871 0.000 In
0.871 0.129 0.000 In
0.153 0.500 0.653 Si
0.847 0.500 0.347 Si
0.500 0.847 0.347 Si
0.500 0.153 0.653 Si
0.620 0.620 0.000 Si
0.380 0.380 0.000 Si
0.750 0.250 0.500 Si
0.250 0.750 0.500 Si
```

14.
Sr2HfS4 | PBE-GGA | relaxed

* E_form (uncorrected): -1896 meV per atom
* SG: Pbam
* crystal system: orthorhombic

```
Sr2HfS4
1.0
4.003 0.000 0.000
0.000 7.365 0.000
0.000 0.000 11.985
Sr Hf S
4 2 8
direct
0.500 0.909 0.819 Sr
0.500 0.091 0.181 Sr
0.500 0.409 0.681 Sr
0.500 0.591 0.319 Sr
0.000 0.000 0.500 Hf
0.000 0.500 0.000 Hf
0.000 0.622 0.804 S
0.000 0.378 0.196 S
0.000 0.122 0.696 S
0.000 0.878 0.304 S
0.500 0.780 0.549 S
0.500 0.220 0.451 S
0.500 0.720 0.049 S
0.500 0.280 0.951 S
```

15.
Ac2Hg3Pd4 | PBE-GGA | relaxed

* energy of formation: -0.5735 eV/atom
* SG: Cmce
* crystal system: orthorhombic

```
Ac2Hg3Pd4
1.0
-1.526 5.301 -2.426
-0.701 -3.390 -6.966
-7.740 -4.332 2.888
Ac Hg Pd
4 6 8
direct
0.110 0.578 0.221 Ac
0.890 0.422 0.779 Ac
0.390 0.078 0.779 Ac
0.610 0.922 0.221 Ac
0.000 0.000 0.000 Hg
0.500 0.500 0.000 Hg
0.516 0.750 0.532 Hg
0.984 0.250 0.468 Hg
0.484 0.250 0.468 Hg
0.016 0.750 0.532 Hg
0.678 0.750 0.856 Pd
0.822 0.250 0.144 Pd
0.322 0.250 0.144 Pd
0.178 0.750 0.856 Pd
0.162 0.978 0.323 Pd
0.838 0.022 0.677 Pd
0.338 0.478 0.677 Pd
0.662 0.522 0.323 Pd
```

16.
ReTcW2 | PBE-GGA | relaxed

* energy of formation: 0.1135 eV/atom
* SG: C2/m
* crystal system: monoclinic

```
ReTcW2
1.0
5.200 0.008 0.005
-2.304 4.661 0.005
0.500 0.806 2.562
Re Tc W
1 1 2
direct
0.500 0.000 0.500 Re
0.000 0.500 0.500 Tc
0.000 0.000 0.000 W
0.500 0.500 0.000 W
```

17.
SrTbMg2In2 | PBE-GGA | relaxed

* energy of formation: -0.3501 eV/atom
* SG: P-3m1
* crystal system: trigonal

```
SrTbMg2In2
1.0
-1.928 2.932 3.605
1.608 -4.634 1.118
7.138 2.840 1.508
Sr Tb Mg In
1 1 2 2
direct
0.000 0.000 0.000 Sr
0.000 0.000 0.500 Tb
0.333 0.667 0.704 Mg
0.667 0.333 0.296 Mg
0.333 0.667 0.287 In
0.667 0.333 0.713 In
```

18.
Tb4Er5Al | PBE-GGA | relaxed

* energy of formation: 0.1053 eV/atom
* SG: I4mm
* crystal system: tetragonal

```
Tb4Er5Al
1.0
5.628 0.000 0.000
2.814 7.441 0.000
2.814 0.000 7.441
Tb Er Al
4 5 1
direct
0.455 0.314 0.686 Tb
0.769 0.686 0.686 Tb
0.142 0.314 0.314 Tb
0.455 0.686 0.314 Tb
0.782 0.365 0.000 Er
0.147 0.000 0.635 Er
0.782 0.000 0.365 Er
0.147 0.635 0.000 Er
0.659 0.000 0.000 Er
0.175 0.000 0.000 Al
```

19.
LaBe2Zn | PBE-GGA | relaxed

* energy of formation: 0.2260 eV/atom
* SG: F-43m
* crystal system: cubic

```
LaBe2Zn
1.0
-2.921 2.181 2.889
-2.933 0.753 -3.531
1.426 -4.323 0.959
Be Zn La
2 1 1
direct
0.000 0.000 0.000 Be
0.250 0.750 0.500 Be
0.750 0.250 0.500 Zn
0.500 0.500 0.000 La
```

20.
ReAgBr2 | PBE-GGA | relaxed

* E_form (uncorrected): 600 meV per atom
* SG: R-3m
* crystal system: trigonal

```
ReAgBr2
1.0
-5.220 8.300 6.986
-2.800 9.917 6.226
-5.219 9.900 4.438
Re Br Ag
1 2 1
direct
0.000 0.000 0.000 Re
0.933 0.933 0.933 Br
0.067 0.067 0.067 Br
0.500 0.500 0.500 Ag
```

no.,theoretical density (kg/m³),spin magnetization (μB per atom),density of states at the Fermi level (states/eV per cell)
1,9920,1.733,5.3
2,8031,0.000,1.2
3,13440,0.000,5.6
4,6116,0.391,8.6
5,6182,0.000,3.5
6,8839,0.000,22.4
7,6813,0.000,1.1
8,6207,0.000,3.0
9,6898,0.000,3.8
10,11333,0.174,12.4
11,9983,0.000,2.8
12,7165,0.000,8.2
13,8250,0.000,25.9
14,4531,0.000,0.0
15,11890,0.000,7.3
16,17428,0.000,3.9
17,5078,0.000,3.4
18,7988,0.000,14.1
19,5188,0.000,1.0
20,8072,0.000,2.3